VASP calculation (GGA-PBE) on a relaxed structure of Dy2YAl3CuGe2.

## Properties
Final energy (eV/cell): -45.855
Space group: Amm2
Total magnetic moment (μB per formula unit): 0.00

a b c (Å): 4.168 7.012 7.012
angles (deg): 120.00 90.00 90.00
Atoms (fractional coordinates):
Dy 0.000 0.201 0.799
Dy 0.000 0.799 0.201
Y 0.000 0.605 0.605
Al 0.500 0.201 0.434
Al 0.500 0.434 0.201
Al 0.500 0.969 0.969
Cu 0.000 0.201 0.201
Ge 0.500 0.535 0.868
Ge 0.500 0.868 0.535